## Sc3ZnC (GGA-PBE)

Data for a geometry-optimized Sc3ZnC structure.

Calculated values
Total magnetic moment (μB per cell): 1.53
Relative energy among the computed polymorphs (meV/atom): 560
Mass density (kg/m³): 3927
Formation energy from the elements (eV/atom): 0.12
Calculated total energy (eV/cell): -57.76

Unit cell a=5.6429 b=5.6429 c=5.6429 alpha=88.60 beta=88.60 gamma=88.60
Site moments in Bohr magnetons follow the coordinates.
Atoms (fractional coordinates):
1 Sc 0.5229 0.2500 0.9771  0.18
2 Sc 0.0229 0.4771 0.7500  0.25
3 Sc 0.2500 0.9771 0.5229  0.15
4 Sc 0.7500 0.0229 0.4771  0.15
5 Sc 0.4771 0.7500 0.0229  0.18
6 Sc 0.9771 0.5229 0.2500  0.25
7 C 0.7500 0.7500 0.7500  -0.02
8 C 0.2500 0.2500 0.2500  -0.02
9 Zn 0.5000 0.5000 0.5000  0.01
10 Zn 0.0000 0.0000 0.0000  0.01